Record 1
First-principles (PBE-GGA) data for crystalline Y2Ga2Au at its relaxed geometry, as listed in the Alexandria database.

space-group type: P4/mbm (127)
total magnetization: 0.00 μB/f.u.
E_form: -348.5 kJ/mol of formula units
relative energy among the computed polymorphs: 34.2 meV per atom
V: 218 Å³ per cell

abc: 6.9799 6.9799 4.4727
angles: 90.00 90.00 90.00
Last column: nearest neighbours and their distance in Å.
Element x y z (fractional)
Y (0.1719, 0.3281, 0.0000)  6 Ga 2.96-3.09
Y (0.3281, 0.8281, 0.0000)  6 Ga 2.96-3.09
Y (0.6719, 0.1719, 0.0000)  6 Ga 2.96-3.09
Y (0.8281, 0.6719, 0.0000)  6 Ga 2.96-3.09
Ga (0.1312, 0.6312, 0.5000)  1 Ga 2.59, 2 Au 2.73
Ga (0.3688, 0.1312, 0.5000)  1 Ga 2.59, 2 Au 2.73
Ga (0.6312, 0.8688, 0.5000)  1 Ga 2.59, 2 Au 2.73
Ga (0.8688, 0.3688, 0.5000)  1 Ga 2.59, 2 Au 2.73
Au (0.0000, 0.0000, 0.5000)  4 Ga 2.73
Au (0.5000, 0.5000, 0.5000)  4 Ga 2.73

Record 2
First-principles (PBE-GGA) data for crystalline YGa2Au3 at its relaxed geometry, as listed in the Alexandria database.

space-group type: C2/m (12)
total magnetization: 0.00 μB/f.u.
E_form: -314.0 kJ/mol of formula units
V: 234 Å³ per cell

abc: 8.3022 8.3022 6.7644
angles: 105.49 105.49 31.45
Last column: nearest neighbours and their distance in Å.
Element x y z (fractional)
Y (0.1220, 0.1220, 0.1761)  7 Au 3.08-3.32, 5 Ga 3.10-3.31
Y (0.8780, 0.8780, 0.8239)  7 Au 3.08-3.32, 5 Ga 3.10-3.31
Ga (0.2273, 0.2273, 0.6715)  5 Au 2.60-2.74
Ga (0.4900, 0.4900, 0.1912)  4 Au 2.59-2.76, 1 Ga 2.69
Ga (0.5100, 0.5100, 0.8088)  4 Au 2.59-2.76, 1 Ga 2.69
Ga (0.7727, 0.7727, 0.3285)  5 Au 2.60-2.74
Au (0.0640, 0.0640, 0.6982)  3 Ga 2.59-2.67, 1 Au 2.89
Au (0.3106, 0.3106, 0.0606)  2 Ga 2.60-2.76, 1 Au 2.89
Au (0.3600, 0.3600, 0.5047)  4 Ga 2.66-2.74, 1 Au 2.89
Au (0.6400, 0.6400, 0.4953)  4 Ga 2.66-2.74, 1 Au 2.89
Au (0.6894, 0.6894, 0.9394)  2 Ga 2.60-2.76, 1 Au 2.89
Au (0.9360, 0.9360, 0.3018)  3 Ga 2.59-2.67, 1 Au 2.89

Record 3
First-principles (PBE-GGA) data for crystalline YGaAu4 at its relaxed geometry, as listed in the Alexandria database.

space-group type: F-43m (216)
total magnetization: 0.00 μB/f.u.
E_form: -213.5 kJ/mol of formula units
relative energy among the computed polymorphs: 93.8 meV per atom
V: 123 Å³ per cell

abc: 5.5812 5.5812 5.5812
angles: 60.00 60.00 60.00
Last column: nearest neighbours and their distance in Å.
Element x y z (fractional)
Y (0.0000, 0.0000, 0.0000)  12 Au 3.27, 4 Ga 3.42
Ga (0.7500, 0.7500, 0.7500)  12 Au 3.27, 4 Y 3.42
Au (0.3751, 0.3751, 0.3751)  6 Au 2.79
Au (0.3751, 0.3751, 0.8746)  6 Au 2.79
Au (0.3751, 0.8746, 0.3751)  6 Au 2.79
Au (0.8746, 0.3751, 0.3751)  6 Au 2.79

Record 4
First-principles (PBE-GGA) data for crystalline YGa3Au at its relaxed geometry, as listed in the Alexandria database.

space-group type: Cm (8)
total magnetization: 0.00 μB/f.u.
E_form: -263.5 kJ/mol of formula units
relative energy among the computed polymorphs: 0.0 meV per atom
V: 99 Å³ per cell

abc: 4.1741 4.1741 6.3717
angles: 109.02 109.02 90.05
Last column: nearest neighbours and their distance in Å.
Element x y z (fractional)
Y (0.0000, 0.0000, 0.0000)  8 Ga 3.14-3.41, 4 Au 3.26
Ga (0.2375, 0.7385, 0.4747)  2 Au 2.62, 2 Ga 2.62-2.63
Ga (0.5966, 0.5966, 0.1931)  1 Au 2.48, 4 Ga 2.62-2.63
Ga (0.7385, 0.2375, 0.4747)  2 Au 2.62, 2 Ga 2.62-2.63
Au (0.3774, 0.3774, 0.7536)  5 Ga 2.48-2.62

Record 5
First-principles (PBE-GGA) data for crystalline Y3Ga3Au2 at its relaxed geometry, as listed in the Alexandria database.

space-group type: Cmcm (63)
total magnetization: 0.00 μB/f.u.
E_form: -601.5 kJ/mol of formula units
V: 349 Å³ per cell

abc: 5.7836 5.7836 14.7088
angles: 90.00 90.00 134.87
Last column: nearest neighbours and their distance in Å.
Element x y z (fractional)
Y (0.0907, 0.9093, 0.6096)  7 Ga 3.09-3.36, 4 Au 3.11-3.36
Y (0.0907, 0.9093, 0.8904)  7 Ga 3.09-3.36, 4 Au 3.11-3.36
Y (0.3620, 0.6380, 0.7500)  5 Ga 3.04-3.20, 4 Au 3.15
Y (0.6380, 0.3620, 0.2500)  5 Ga 3.04-3.20, 4 Au 3.15
Y (0.9093, 0.0907, 0.1096)  7 Ga 3.09-3.36, 4 Au 3.11-3.36
Y (0.9093, 0.0907, 0.3904)  7 Ga 3.09-3.36, 4 Au 3.11-3.36
Ga (0.3533, 0.6467, 0.2500)  2 Au 2.69
Ga (0.3884, 0.6116, 0.5362)  1 Ga 2.61, 3 Au 2.61-2.88
Ga (0.3884, 0.6116, 0.9638)  1 Ga 2.61, 3 Au 2.61-2.88
Ga (0.6116, 0.3884, 0.0362)  1 Ga 2.61, 3 Au 2.61-2.88
Ga (0.6116, 0.3884, 0.4638)  1 Ga 2.61, 3 Au 2.61-2.88
Ga (0.6467, 0.3533, 0.7500)  2 Au 2.69
Au (0.2004, 0.7996, 0.1044)  4 Ga 2.61-2.88
Au (0.2004, 0.7996, 0.3956)  4 Ga 2.61-2.88
Au (0.7996, 0.2004, 0.6044)  4 Ga 2.61-2.88
Au (0.7996, 0.2004, 0.8956)  4 Ga 2.61-2.88

Record 6
First-principles (PBE-GGA) data for crystalline Y3Ga6Au5 at its relaxed geometry, as listed in the Alexandria database.

space-group type: Pmmn (59)
total magnetization: 0.00 μB/f.u.
E_form: -846.8 kJ/mol of formula units
V: 549 Å³ per cell

abc: 4.3626 12.9145 9.7470
angles: 90.00 90.00 90.00
Last column: nearest neighbours and their distance in Å.
Element x y z (fractional)
Y (0.2500, 0.0517, 0.2480)  7 Ga 3.07-3.36, 7 Au 3.18-3.42
Y (0.2500, 0.4483, 0.2480)  7 Ga 3.07-3.36, 7 Au 3.18-3.42
Y (0.2500, 0.7500, 0.2490)  6 Au 3.19, 6 Ga 3.34
Y (0.7500, 0.2500, 0.7510)  6 Au 3.19, 6 Ga 3.34
Y (0.7500, 0.5517, 0.7520)  7 Ga 3.07-3.36, 7 Au 3.18-3.42
Y (0.7500, 0.9483, 0.7520)  7 Ga 3.07-3.36, 7 Au 3.18-3.42
Ga (0.2500, 0.0826, 0.8852)  4 Au 2.57-2.70, 1 Ga 2.71
Ga (0.2500, 0.2500, 0.0538)  2 Ga 2.71, 6 Au 2.81-3.03
Ga (0.2500, 0.2500, 0.4412)  4 Au 2.64-2.75, 4 Ga 2.93
Ga (0.2500, 0.4174, 0.8852)  4 Au 2.57-2.70, 1 Ga 2.71
Ga (0.2500, 0.6000, 0.5280)  4 Au 2.63-2.77, 2 Ga 2.93
Ga (0.2500, 0.9000, 0.5280)  4 Au 2.63-2.77, 2 Ga 2.93
Ga (0.7500, 0.1000, 0.4720)  4 Au 2.63-2.77, 2 Ga 2.93
Ga (0.7500, 0.4000, 0.4720)  4 Au 2.63-2.77, 2 Ga 2.93
Ga (0.7500, 0.5826, 0.1148)  4 Au 2.57-2.70, 1 Ga 2.71
Ga (0.7500, 0.7500, 0.5588)  4 Au 2.64-2.75, 4 Ga 2.93
Ga (0.7500, 0.7500, 0.9462)  2 Ga 2.71, 6 Au 2.81-3.03
Ga (0.7500, 0.9174, 0.1148)  4 Au 2.57-2.70, 1 Ga 2.71
Au (0.2500, 0.0983, 0.6220)  5 Ga 2.57-2.72
Au (0.2500, 0.4017, 0.6220)  5 Ga 2.57-2.72
Au (0.2500, 0.6148, 0.9751)  5 Ga 2.60-2.81
Au (0.2500, 0.7500, 0.7309)  6 Ga 2.75-3.03, 2 Au 2.95
Au (0.2500, 0.8852, 0.9751)  5 Ga 2.60-2.81
Au (0.7500, 0.1148, 0.0249)  5 Ga 2.60-2.81
Au (0.7500, 0.2500, 0.2691)  6 Ga 2.75-3.03, 2 Au 2.95
Au (0.7500, 0.3852, 0.0249)  5 Ga 2.60-2.81
Au (0.7500, 0.5983, 0.3780)  5 Ga 2.57-2.72
Au (0.7500, 0.9017, 0.3780)  5 Ga 2.57-2.72

Record 7
First-principles (PBE-GGA) data for crystalline Y6Ga2Au at its relaxed geometry, as listed in the Alexandria database.

space-group type: P2_1/c (14)
total magnetization: 0.00 μB/f.u.
E_form: -342.5 kJ/mol of formula units
V: 501 Å³ per cell

abc: 6.3509 8.1679 11.2212
angles: 90.00 120.51 90.00
Last column: nearest neighbours and their distance in Å.
Element x y z (fractional)
Y (0.0838, 0.1625, 0.4384)  1 Au 2.96, 3 Ga 3.03-3.26
Y (0.0838, 0.3375, 0.9384)  1 Au 2.96, 3 Ga 3.03-3.26
Y (0.3192, 0.6891, 0.4358)  1 Au 2.91, 2 Ga 3.12-3.20
Y (0.3192, 0.8109, 0.9358)  1 Au 2.91, 2 Ga 3.12-3.20
Y (0.4135, 0.0420, 0.2722)  1 Au 2.86, 2 Ga 3.02-3.03
Y (0.4135, 0.4580, 0.7722)  1 Au 2.86, 2 Ga 3.02-3.03
Y (0.5865, 0.5420, 0.2278)  1 Au 2.86, 2 Ga 3.02-3.03
Y (0.5865, 0.9580, 0.7278)  1 Au 2.86, 2 Ga 3.02-3.03
Y (0.6808, 0.1891, 0.0642)  1 Au 2.91, 2 Ga 3.12-3.20
Y (0.6808, 0.3109, 0.5642)  1 Au 2.91, 2 Ga 3.12-3.20
Y (0.9162, 0.6625, 0.0616)  1 Au 2.96, 3 Ga 3.03-3.26
Y (0.9162, 0.8375, 0.5616)  1 Au 2.96, 3 Ga 3.03-3.26
Ga (0.1876, 0.1249, 0.7533)  8 Y 3.02-3.34
Ga (0.1876, 0.3751, 0.2533)  8 Y 3.02-3.34
Ga (0.8124, 0.6249, 0.7467)  8 Y 3.02-3.34
Ga (0.8124, 0.8751, 0.2467)  8 Y 3.02-3.34
Au (0.0000, 0.0000, 0.0000)  6 Y 2.86-2.96
Au (0.0000, 0.5000, 0.5000)  6 Y 2.86-2.96

Record 8
First-principles (PBE-GGA) data for crystalline Y3Ga4Au4 at its relaxed geometry, as listed in the Alexandria database.

space-group type: P-1 (2)
total magnetization: 0.00 μB/f.u.
E_form: -749.6 kJ/mol of formula units
relative energy among the computed polymorphs: 0.0 meV per atom
V: 228 Å³ per cell

abc: 3.6081 4.4952 14.3482
angles: 81.03 82.83 89.98
Last column: nearest neighbours and their distance in Å.
Element x y z (fractional)
Y (0.0000, 0.0000, 0.0000)  8 Au 3.20, 4 Ga 3.21-3.22
Y (0.1429, 0.6430, 0.7153)  6 Au 3.14-3.18, 6 Ga 3.18-3.30
Y (0.8571, 0.3570, 0.2847)  6 Au 3.14-3.18, 6 Ga 3.18-3.30
Ga (0.2592, 0.2590, 0.4815)  4 Au 2.71-2.72, 4 Ga 2.93
Ga (0.4041, 0.9050, 0.1892)  3 Au 2.58-2.59
Ga (0.5959, 0.0950, 0.8108)  3 Au 2.58-2.59
Ga (0.7408, 0.7410, 0.5185)  4 Au 2.71-2.72, 4 Ga 2.93
Au (0.3130, 0.8125, 0.3737)  5 Ga 2.59-2.72
Au (0.4516, 0.4501, 0.0989)  2 Ga 2.58, 1 Au 2.78
Au (0.5484, 0.5499, 0.9011)  2 Ga 2.58, 1 Au 2.78
Au (0.6869, 0.1875, 0.6263)  5 Ga 2.59-2.72

Record 9
First-principles (PBE-GGA) data for crystalline Y2Ga5Au3 at its relaxed geometry, as listed in the Alexandria database.

space-group type: Cmc2_1 (36)
total magnetization: 0.00 μB/f.u.
E_form: -585.2 kJ/mol of formula units
relative energy among the computed polymorphs: 0.0 meV per atom
V: 391 Å³ per cell

abc: 12.7391 12.7391 7.0437
angles: 90.00 90.00 160.01
Last column: nearest neighbours and their distance in Å.
Element x y z (fractional)
Y (0.0168, 0.9832, 0.5000)  5 Au 2.97-3.18, 6 Ga 3.04-3.28
Y (0.3255, 0.6745, 0.4903)  9 Ga 3.07-3.35, 4 Au 3.18-3.39
Y (0.6745, 0.3255, 0.9903)  9 Ga 3.07-3.35, 4 Au 3.18-3.39
Y (0.9832, 0.0168, 0.0000)  5 Au 2.97-3.18, 6 Ga 3.04-3.28
Ga (0.1044, 0.8956, 0.1624)  3 Au 2.60-2.74, 1 Ga 2.68
Ga (0.2060, 0.7940, 0.2786)  3 Au 2.67-2.75, 2 Ga 2.68-2.88
Ga (0.2070, 0.7930, 0.6871)  4 Au 2.59-2.71, 1 Ga 2.88
Ga (0.3822, 0.6178, 0.0147)  4 Au 2.65-2.88, 1 Ga 2.76
Ga (0.4501, 0.5499, 0.3233)  4 Au 2.66-2.74, 1 Ga 2.76
Ga (0.5499, 0.4501, 0.8233)  4 Au 2.66-2.74, 1 Ga 2.76
Ga (0.6178, 0.3822, 0.5147)  4 Au 2.65-2.88, 1 Ga 2.76
Ga (0.7930, 0.2070, 0.1871)  4 Au 2.59-2.71, 1 Ga 2.88
Ga (0.7940, 0.2060, 0.7786)  3 Au 2.67-2.75, 2 Ga 2.68-2.88
Ga (0.8956, 0.1044, 0.6624)  3 Au 2.60-2.74, 1 Ga 2.68
Au (0.1068, 0.8932, 0.7735)  6 Ga 2.59-2.88
Au (0.2768, 0.7232, 0.9816)  7 Ga 2.65-2.75
Au (0.4480, 0.5520, 0.7128)  5 Ga 2.60-2.74
Au (0.5520, 0.4480, 0.2128)  5 Ga 2.60-2.74
Au (0.7232, 0.2768, 0.4816)  7 Ga 2.65-2.75
Au (0.8932, 0.1068, 0.2735)  6 Ga 2.59-2.88

Record 10
First-principles (PBE-GGA) data for crystalline YGaAu6 at its relaxed geometry, as listed in the Alexandria database.

space-group type: C2/m (12)
total magnetization: 0.00 μB/f.u.
E_form: -298.1 kJ/mol of formula units
relative energy among the computed polymorphs: 0.0 meV per atom
V: 152 Å³ per cell

abc: 5.2327 5.2327 7.9869
angles: 111.12 111.12 49.27
Last column: nearest neighbours and their distance in Å.
Element x y z (fractional)
Y (0.0000, 0.0000, 0.0000)  12 Au 2.93-3.09
Ga (0.0000, 0.0000, 0.5000)  8 Au 2.69-2.98
Au (0.2261, 0.2261, 0.3780)  1 Ga 2.69, 5 Au 2.84-2.97, 1 Y 2.93
Au (0.2577, 0.2577, 0.8666)  8 Au 2.97-3.09, 1 Ga 2.98, 3 Y 3.04
Au (0.4845, 0.4845, 0.2667)  2 Ga 2.83, 8 Au 2.93-3.07, 2 Y 3.09
Au (0.5155, 0.5155, 0.7333)  2 Ga 2.83, 8 Au 2.93-3.07, 2 Y 3.09
Au (0.7423, 0.7423, 0.1334)  8 Au 2.97-3.09, 1 Ga 2.98, 3 Y 3.04
Au (0.7739, 0.7739, 0.6220)  1 Ga 2.69, 5 Au 2.84-2.97, 1 Y 2.93

Record 11
First-principles (PBE-GGA) data for crystalline YGa2Au5 at its relaxed geometry, as listed in the Alexandria database.

space-group type: Cmcm (63)
total magnetization: 0.00 μB/f.u.
E_form: -333.8 kJ/mol of formula units
V: 307 Å³ per cell

abc: 5.5912 5.5912 13.0182
angles: 90.00 90.00 130.95
Last column: nearest neighbours and their distance in Å.
Element x y z (fractional)
Y (0.0514, 0.9486, 0.7500)  7 Au 3.05-3.31, 4 Ga 3.24
Y (0.9486, 0.0514, 0.2500)  7 Au 3.05-3.31, 4 Ga 3.24
Ga (0.3880, 0.6120, 0.0829)  5 Au 2.60-2.74
Ga (0.3880, 0.6120, 0.4171)  5 Au 2.60-2.74
Ga (0.6120, 0.3880, 0.5829)  5 Au 2.60-2.74
Ga (0.6120, 0.3880, 0.9171)  5 Au 2.60-2.74
Au (0.1379, 0.8621, 0.0041)  3 Ga 2.60-2.74, 1 Au 2.81
Au (0.1379, 0.8621, 0.4959)  3 Ga 2.60-2.74, 1 Au 2.81
Au (0.2480, 0.7520, 0.2500)  2 Ga 2.60
Au (0.3657, 0.6343, 0.6418)  2 Ga 2.62-2.93, 3 Au 2.82-2.93
Au (0.3657, 0.6343, 0.8582)  2 Ga 2.62-2.93, 3 Au 2.82-2.93
Au (0.6343, 0.3657, 0.1418)  2 Ga 2.62-2.93, 3 Au 2.82-2.93
Au (0.6343, 0.3657, 0.3582)  2 Ga 2.62-2.93, 3 Au 2.82-2.93
Au (0.7520, 0.2480, 0.7500)  2 Ga 2.60
Au (0.8621, 0.1379, 0.5041)  3 Ga 2.60-2.74, 1 Au 2.81
Au (0.8621, 0.1379, 0.9959)  3 Ga 2.60-2.74, 1 Au 2.81

Record 12
First-principles (PBE-GGA) data for crystalline Y3Ga4Au4 at its relaxed geometry, as listed in the Alexandria database.

space-group type: Immm (71)
total magnetization: 0.00 μB/f.u.
E_form: -740.5 kJ/mol of formula units
relative energy among the computed polymorphs: 8.6 meV per atom
V: 227 Å³ per cell

abc: 13.9687 13.9687 13.9687
angles: 165.09 161.15 24.12
Last column: nearest neighbours and their distance in Å.
Element x y z (fractional)
Y (0.0000, 0.0000, 0.0000)  4 Au 3.12, 8 Ga 3.19
Y (0.3576, 0.8576, 0.5000)  6 Au 3.10-3.21, 6 Ga 3.18
Y (0.6424, 0.1424, 0.5000)  6 Au 3.10-3.21, 6 Ga 3.18
Ga (0.1881, 0.6881, 0.5000)  5 Au 2.59-2.78
Ga (0.4531, 0.4531, 0.0000)  1 Ga 2.56, 2 Au 2.61
Ga (0.5469, 0.5469, 0.0000)  1 Ga 2.56, 2 Au 2.61
Ga (0.8119, 0.3119, 0.5000)  5 Au 2.59-2.78
Au (0.0932, 0.5932, 0.5000)  3 Ga 2.59-2.61
Au (0.2654, 0.2654, 0.0000)  4 Ga 2.62-2.78
Au (0.7346, 0.7346, 0.0000)  4 Ga 2.62-2.78
Au (0.9068, 0.4068, 0.5000)  3 Ga 2.59-2.61